! LiZr3, optimized geometry, DFT PBEsol; values from VASP
&SYSTEM
  ibrav = 0, nat = 4, ntyp = 2
/
ATOMIC_SPECIES
Li 6.94 Li.upf
Zr 91.22 Zr.upf
CELL_PARAMETERS angstrom
1.552 0.896 10.529
-1.552 0.896 10.529
0.000 -1.792 10.529
ATOMIC_POSITIONS crystal
Li 0.000 0.000 0.000
Zr 0.248 0.248 0.248
Zr 0.500 0.500 0.500
Zr 0.752 0.752 0.752
! space-group type: No. 166
! theoretical density: 5.3 g/cm3
! volume: 87.83 Å³/cell
! DFT formation energy: 149 meV per atom
! offset from the most stable computed form: 0.020 eV per atom
! total energy: -28.64 eV for the cell shown
! crystal system: trigonal